The following is a meta-GGA SCAN calculation of a PBEsol-optimized structure of BeRu2Se, from the Alexandria database.

As for the excess energy over the best structure of this formula in the dataset: 32.1 meV per atom. Its density is 9.370 Mg/m³. Its raw formation energy is 166 meV/atom.

a b c (Å): 2.8983 2.8983 21.2007
angles (deg): 90.00 90.00 120.00
Last column: nearest neighbours and their distance in Å.
Space group R-3m (No. 166, hexagonal axes)
Symmetry-distinct sites (fractional):
1 Be 0.0000 0.0000 0.0000 (multiplicity 3)  6 Ru 2.33
2 Ru 0.0000 0.0000 0.2570 (multiplicity 6)  3 Be 2.33, 3 Se 2.54
3 Se 0.0000 0.0000 0.5000 (multiplicity 3)  6 Ru 2.54